1.
A plane-wave DFT calculation with GGA+U was carried out for a relaxed structure of ScVO2F.

## Properties
DFT total energy, eV per cell: -36.060
SG: P4/mmm, No. 123

a b c (Å): 3.9449 3.9449 3.8747
angles (deg): 90.00 90.00 90.00
With the nearest neighbours (Å) after each atom.
Element x y z (fractional)
Sc (0.0000, 0.0000, 0.0000)  8 O 2.76, 4 F 2.79
V (0.5000, 0.5000, 0.5000)  2 F 1.94, 4 O 1.97
O (0.0000, 0.5000, 0.5000)  2 V 1.97
O (0.5000, 0.0000, 0.5000)  2 V 1.97
F (0.5000, 0.5000, 0.0000)  2 V 1.94

2.
A plane-wave DFT calculation with GGA+U was carried out for a relaxed structure of ScVO2F.

## Properties
DFT total energy, eV per cell: -36.627
SG: P4/mmm, No. 123

a b c (Å): 4.0926 4.0926 3.9441
angles (deg): 90.00 90.00 90.00
With the nearest neighbours (Å) after each atom.
Element x y z (fractional)
Sc (0.0000, 0.0000, 0.0000)  2 F 1.97, 4 O 2.05
V (0.5000, 0.5000, 0.5000)  8 O 2.84, 4 F 2.89
O (0.0000, 0.5000, 0.0000)  2 Sc 2.05
O (0.5000, 0.0000, 0.0000)  2 Sc 2.05
F (0.0000, 0.0000, 0.5000)  2 Sc 1.97